(1)
Here is a geometry-optimized La8SmHo6 structure from the Alexandria database. Energies are from PBE-GGA.

Results
formation energy: 0.17 eV/atom

Cell: 9.4659 9.4659 6.6774 Å, 90.00 90.00 120.00°
Space group P-3 (No. 147)
Asymmetric unit:
La 0.0455 0.7514 0.1686 [6 per cell]
La 0.3333 0.6667 0.1203 [2 per cell]
Sm 0.0000 0.0000 0.5000 [1 per cell]
Ho 0.0989 0.6600 0.6531 [6 per cell]


(2)
Here is a geometry-optimized Pm8Dy3Sc structure from the Alexandria database. Energies are from PBE-GGA.

Results
formation energy: 0.57 eV/atom

Cell: 8.6770 8.6770 11.5524 Å, 90.00 90.00 90.00°
Space group I-42m (No. 121)
Asymmetric unit:
Pm 0.1265 0.1265 0.2424 [8 per cell]
Pm 0.2387 0.2387 0.9800 [8 per cell]
Dy 0.0000 0.0000 0.5000 [2 per cell]
Dy 0.0000 0.5000 0.2500 [4 per cell]
Sc 0.0000 0.0000 0.0000 [2 per cell]